Entry 1:
# TiVMoRh PBE relaxed
data_TiVMoRh
_space_group_name_H-M_alt 'P 4 m m'
_space_group_IT_number 99
_cell_length_a 3.0941
_cell_length_b 3.0941
_cell_length_c 6.1787
_cell_angle_alpha 90.00
_cell_angle_beta 90.00
_cell_angle_gamma 90.00
loop_
_space_group_symop_operation_xyz
'x,y,z'
'-y,x,z'
'-x,-y,z'
'y,-x,z'
'-x,y,z'
'y,x,z'
'x,-y,z'
'-y,-x,z'
loop_
_atom_site_label
_atom_site_type_symbol
_atom_site_fract_x
_atom_site_fract_y
_atom_site_fract_z
_atom_site_occupancy
Ti1 Ti 0.0000 0.0000 0.0000 1
V1 V 0.0000 0.0000 0.5134 1
Mo1 Mo 0.5000 0.5000 0.7410 1
Rh1 Rh 0.5000 0.5000 0.2519 1
# Raw total energy in eV per atom: -9.201
# Calculated formation energy in kJ/mol of formula units: -155
# Size of the total moment in μB/atom: 0.000
# Crystal system: tetragonal

***

Entry 2:
# TiVMoRh PBE relaxed
data_TiVMoRh
_space_group_name_H-M_alt 'F -4 3 m'
_space_group_IT_number 216
_space_group_name_Hall 'F -4 2 3'
_cell_length_a 6.1613
_cell_length_b 6.1613
_cell_length_c 6.1613
_cell_angle_alpha 90.00
_cell_angle_beta 90.00
_cell_angle_gamma 90.00
loop_
_atom_site_label
_atom_site_type_symbol
_atom_site_fract_x
_atom_site_fract_y
_atom_site_fract_z
_atom_site_occupancy
Ti1 Ti 0.0000 0.0000 0.0000 1
V1 V 0.0000 0.0000 0.5000 1
Mo1 Mo 0.2500 0.2500 0.2500 1
Rh1 Rh 0.2500 0.2500 0.7500 1
# Raw total energy in eV per atom: -9.202
# Calculated formation energy in kJ/mol of formula units: -155
# Size of the total moment in μB/atom: 0.000
# Crystal system: cubic